(1)
{"formula": "La4Y4Tm3", "functional": "GGA-PBE", "state": "relaxed", "space_group": "Immm", "de_polymorph_mev_per_atom": 54, "cell": [[3.566, 0.000, -0.657], [-0.849, 8.188, -4.609], [0.386, 1.417, 12.102]], "species": ["La", "La", "La", "La", "Tm", "Tm", "Tm", "Y", "Y", "Y", "Y"], "fractional_positions": [[0.643, 0.474, 0.286], [0.357, 0.526, 0.714], [0.643, 0.812, 0.286], [0.357, 0.188, 0.714], [0.895, 0.895, 0.790], [0.105, 0.105, 0.210], [0.000, 0.500, 0.000], [0.500, 0.184, 0.000], [0.735, 0.235, 0.470], [0.500, 0.816, 0.000], [0.265, 0.765, 0.530]]}


(2)
{"formula": "LaY5Tm5", "functional": "GGA-PBE", "state": "relaxed", "space_group": "P-6m2", "cell": [[-1.113, 1.415, -5.789], [1.113, -5.753, 1.554], [-11.322, -1.717, 1.757]], "species": ["Y", "Y", "Y", "Y", "Y", "Tm", "Tm", "Tm", "Tm", "Tm", "La"], "fractional_positions": [[0.333, 0.667, 0.673], [0.000, 0.000, 0.000], [0.667, 0.333, 0.839], [0.667, 0.333, 0.161], [0.333, 0.667, 0.327], [0.334, 0.167, 0.500], [0.000, 0.000, 0.734], [0.833, 0.666, 0.500], [0.833, 0.167, 0.500], [0.000, 0.000, 0.266], [0.333, 0.667, 0.000]]}


(3)
{"formula": "La4Y11Tm9", "functional": "GGA-PBE", "state": "relaxed", "space_group": "Cmmm", "cell": [[3.617, 0.000, 0.000], [0.000, 14.102, -6.480], [0.000, -0.417, 15.514]], "species": ["Tm", "Tm", "Tm", "Tm", "Tm", "Tm", "Tm", "Tm", "Tm", "La", "La", "La", "La", "Y", "Y", "Y", "Y", "Y", "Y", "Y", "Y", "Y", "Y", "Y"], "fractional_positions": [[0.500, 0.825, 0.387], [0.500, 0.175, 0.613], [0.500, 0.613, 0.175], [0.500, 0.500, 0.500], [0.500, 0.387, 0.825], [0.500, 0.986, 0.798], [0.500, 0.202, 0.014], [0.500, 0.014, 0.202], [0.500, 0.798, 0.986], [0.500, 0.417, 0.243], [0.500, 0.583, 0.757], [0.500, 0.757, 0.583], [0.500, 0.243, 0.417], [0.000, 0.812, 0.188], [0.000, 0.595, 0.968], [0.000, 0.032, 0.405], [0.000, 0.188, 0.812], [0.000, 0.625, 0.375], [0.000, 0.405, 0.032], [0.000, 0.792, 0.792], [0.000, 0.208, 0.208], [0.000, 0.375, 0.625], [0.000, 0.968, 0.595], [0.000, 0.000, 0.000]]}


(4)
{"formula": "La6YTm12", "functional": "GGA-PBE", "state": "relaxed", "space_group": "R-3m", "cell": [[-3.003, 7.308, 5.178], [-6.111, -7.175, 0.641], [8.562, -2.745, 2.898]], "species": ["Tm", "Tm", "Tm", "Tm", "Tm", "Tm", "Tm", "Tm", "Tm", "Tm", "Tm", "Tm", "La", "La", "La", "La", "La", "La", "Y"], "fractional_positions": [[0.786, 0.500, 0.214], [0.786, 0.214, 0.500], [0.395, 0.395, 0.172], [0.605, 0.828, 0.605], [0.828, 0.605, 0.605], [0.500, 0.786, 0.214], [0.395, 0.172, 0.395], [0.500, 0.214, 0.786], [0.172, 0.395, 0.395], [0.214, 0.500, 0.786], [0.214, 0.786, 0.500], [0.605, 0.605, 0.828], [0.071, 0.071, 0.695], [0.929, 0.929, 0.305], [0.695, 0.071, 0.071], [0.305, 0.929, 0.929], [0.071, 0.695, 0.071], [0.929, 0.305, 0.929], [0.000, 0.000, 0.000]]}


no.,energy relative to the elements (eV per atom)
1,0.121
2,0.289
3,0.054
4,0.256